Np2CrSn | PBE | optimized geometry

Cell: 3.0169 3.0169 30.1372 Å, 90.00 90.00 120.00°
Fractional positions:
Np 0.0000 0.0000 0.2385
Np 0.0000 0.0000 0.7615
Np 0.3333 0.6667 0.4282
Np 0.3333 0.6667 0.9051
Np 0.6667 0.3333 0.0949
Np 0.6667 0.3333 0.5718
Cr 0.0000 0.0000 0.5000
Cr 0.3333 0.6667 0.1667
Cr 0.6667 0.3333 0.8333
Sn 0.0000 0.0000 0.0000
Sn 0.3333 0.6667 0.6667
Sn 0.6667 0.3333 0.3333

energy of formation from the pure elements: 40.8 kJ/mol of atoms
symmetry: R-3m, No. 166